(1)
## Y3ErMg12 (PBE)

Data for Y3ErMg12 after structural relaxation.

Unit cell a=4.6256 b=4.6256 c=18.9550 alpha=90.00 beta=90.00 gamma=90.00
With the nearest neighbours (Å) after each atom.
Fractional positions:
Y: 0.0000 0.0000 0.0000  12 Mg 3.27-3.31
Y: 0.0000 0.0000 0.2506  12 Mg 3.27-3.31
Y: 0.0000 0.0000 0.7494  12 Mg 3.27-3.31
Er: 0.0000 0.0000 0.5000  12 Mg 3.27-3.30
Mg: 0.0000 0.5000 0.1253  8 Mg 3.27-3.32, 4 Y 3.31
Mg: 0.0000 0.5000 0.3758  8 Mg 3.27-3.31, 2 Er 3.30, 2 Y 3.31
Mg: 0.0000 0.5000 0.6242  8 Mg 3.27-3.31, 2 Er 3.30, 2 Y 3.31
Mg: 0.0000 0.5000 0.8747  8 Mg 3.27-3.32, 4 Y 3.31
Mg: 0.5000 0.0000 0.1253  8 Mg 3.27-3.32, 4 Y 3.31
Mg: 0.5000 0.0000 0.3758  8 Mg 3.27-3.31, 2 Er 3.30, 2 Y 3.31
Mg: 0.5000 0.0000 0.6242  8 Mg 3.27-3.31, 2 Er 3.30, 2 Y 3.31
Mg: 0.5000 0.0000 0.8747  8 Mg 3.27-3.32, 4 Y 3.31
Mg: 0.5000 0.5000 0.0000  4 Y 3.27, 8 Mg 3.31
Mg: 0.5000 0.5000 0.2510  4 Y 3.27, 8 Mg 3.31-3.32
Mg: 0.5000 0.5000 0.5000  4 Er 3.27, 8 Mg 3.30
Mg: 0.5000 0.5000 0.7490  4 Y 3.27, 8 Mg 3.31-3.32

Output
- magnetic moment (μB per formula unit) = 0.00
- volume (Å³ per atom) = 25.3
- calculated total energy (eV per atom) = -2.768

=====

(2)
## CaNi3Br (PBE)

Data for CaNi3Br after structural relaxation.

Unit cell a=4.4981 b=4.4981 c=4.4981 alpha=90.00 beta=90.00 gamma=90.00
With the nearest neighbours (Å) after each atom.
Fractional positions:
Ca: 0.0000 0.0000 0.0000  12 Ni 3.18
Ni: 0.0000 0.5000 0.5000  2 Br 2.25
Ni: 0.5000 0.0000 0.5000  2 Br 2.25
Ni: 0.5000 0.5000 0.0000  2 Br 2.25
Br: 0.5000 0.5000 0.5000  6 Ni 2.25

Output
- energy relative to the lowest polymorph listed for this composition (meV per atom) = 0.0
- magnetic moment (μB per formula unit) = 0.00
- volume (Å³ per atom) = 18.2
- raw formation energy (eV/atom) = 0.43
- calculated total energy (eV per atom) = -3.770